Arrangement w

## PmGa4Pt6 (PBE)

Data for a geometry-optimized PmGa4Pt6 structure.

Cell and atoms, written as POSCAR:
```
PmGa4Pt6
1.0
6.645 -0.102 -0.149
-3.163 5.845 0.149
-3.163 -2.010 5.491
Pt Ga Pm
6 4 1
direct
0.500 0.000 0.500
0.677 0.229 0.229
0.000 0.771 0.448
0.323 0.552 0.552
0.500 0.500 0.000
0.000 0.448 0.771
0.406 0.876 0.876
0.000 0.124 0.530
0.594 0.470 0.470
0.000 0.530 0.124
0.000 0.000 0.000
```

The symmetry is I-42m (121).

=====

Arrangement x

## PmGa4Pt6 (PBE)

Data for a geometry-optimized PmGa4Pt6 structure.

Cell and atoms, written as POSCAR:
```
PmGa4Pt6
1.0
3.942 0.000 0.000
0.000 6.400 -3.695
0.000 0.000 7.390
Ga Pt Pm
4 6 1
direct
0.500 0.396 0.198
0.500 0.802 0.198
0.000 0.333 0.667
0.500 0.802 0.604
0.000 0.533 0.067
0.000 0.533 0.467
0.500 0.196 0.392
0.500 0.608 0.804
0.000 0.933 0.467
0.500 0.196 0.804
0.000 0.000 0.000
```

The symmetry is P-6m2 (187).

=====

Which structure is the most stable? The one labeled arrangement x.

=====

Arrangement w

## Pm3Ga4Pt4 (PBE)

Data for a geometry-optimized Pm3Ga4Pt4 structure.

Cell and atoms, written as POSCAR:
```
Pm3Ga4Pt4
1.0
-1.316 -3.983 -0.366
5.396 -2.177 4.285
-6.285 3.952 3.829
Pm Pt Ga
3 4 4
direct
0.125 0.125 0.251
0.000 0.500 0.000
0.875 0.875 0.749
0.785 0.285 0.571
0.500 0.799 0.000
0.500 0.201 0.000
0.215 0.715 0.429
0.327 0.525 0.654
0.673 0.475 0.346
0.673 0.871 0.346
0.327 0.129 0.654
```

The symmetry is Immm (71).

=====

Arrangement x

## Pm3Ga4Pt4 (PBE)

Data for a geometry-optimized Pm3Ga4Pt4 structure.

Cell and atoms, written as POSCAR:
```
Pm3Ga4Pt4
1.0
4.335 0.000 0.000
0.000 3.977 0.000
-2.168 -1.988 13.110
Pt Ga Pm
4 4 3
direct
0.097 0.597 0.195
0.747 0.747 0.494
0.903 0.403 0.805
0.253 0.253 0.506
0.452 0.452 0.904
0.807 0.307 0.613
0.548 0.548 0.096
0.193 0.693 0.387
0.645 0.145 0.289
0.355 0.855 0.711
0.000 0.000 0.000
```

The symmetry is Immm (71).

=====

Which structure is the most stable? The one labeled arrangement w.

=====

Arrangement w

## Pm3Ga8Pt3 (PBE)

Data for a geometry-optimized Pm3Ga8Pt3 structure.

Cell and atoms, written as POSCAR:
```
Pm3Ga8Pt3
1.0
4.297 0.000 0.000
2.149 7.986 -0.204
2.149 1.978 7.739
Ga Pt Pm
8 3 3
direct
0.372 0.347 0.909
0.832 0.797 0.538
0.168 0.203 0.462
0.628 0.653 0.091
0.168 0.462 0.203
0.628 0.091 0.653
0.832 0.538 0.797
0.372 0.909 0.347
0.500 0.000 0.000
0.000 0.782 0.218
0.000 0.218 0.782
0.820 0.180 0.180
0.500 0.500 0.500
0.180 0.820 0.820
```

The symmetry is Immm (71).

=====

Arrangement x

## Pm3Ga8Pt3 (PBE)

Data for a geometry-optimized Pm3Ga8Pt3 structure.

Cell and atoms, written as POSCAR:
```
Pm3Ga8Pt3
1.0
4.293 0.000 1.132
1.416 7.416 3.335
0.092 -0.178 8.355
Ga Pm Pt
8 3 3
direct
0.847 0.437 0.870
0.345 0.023 0.287
0.497 0.328 0.677
0.503 0.672 0.323
0.655 0.977 0.713
0.153 0.563 0.130
0.139 0.148 0.573
0.861 0.852 0.427
0.000 0.000 0.000
0.292 0.715 0.702
0.708 0.285 0.298
0.000 0.500 0.500
0.648 0.709 0.995
0.352 0.291 0.005
```

The symmetry is C2/m (12).

=====

Which structure is the most stable? The one labeled arrangement x.

=====

Arrangement w

## PmGaPt3 (PBE)

Data for a geometry-optimized PmGaPt3 structure.

Cell and atoms, written as POSCAR:
```
PmGaPt3
1.0
5.235 0.000 0.000
0.000 6.309 0.000
0.000 0.000 6.307
Pt Pm Ga
6 2 2
direct
0.000 0.649 0.351
0.000 0.149 0.149
0.500 0.500 0.000
0.500 0.000 0.500
0.000 0.851 0.851
0.000 0.351 0.649
0.500 0.000 0.000
0.500 0.500 0.500
0.000 0.500 0.000
0.000 0.000 0.500
```

The symmetry is P4/mbm (127).

=====

Arrangement x

## PmGaPt3 (PBE)

Data for a geometry-optimized PmGaPt3 structure.

Cell and atoms, written as POSCAR:
```
PmGaPt3
1.0
-0.915 3.177 -2.461
-5.913 -4.662 -3.821
-7.281 3.410 7.107
Pt Pm Ga
12 4 4
direct
0.750 0.107 0.205
0.750 0.645 0.712
0.250 0.570 0.090
0.250 0.855 0.212
0.250 0.355 0.288
0.750 0.607 0.295
0.250 0.893 0.795
0.250 0.070 0.410
0.750 0.930 0.590
0.750 0.145 0.788
0.750 0.430 0.910
0.250 0.393 0.705
0.250 0.681 0.509
0.750 0.819 0.009
0.750 0.319 0.491
0.250 0.181 0.991
0.750 0.889 0.361
0.250 0.611 0.861
0.250 0.111 0.639
0.750 0.389 0.139
```

The symmetry is Pnma (62).

=====

Which structure is the most stable? The one labeled arrangement x.